This record from Alexandria via LeMat-Bulk describes a relaxed KTaCr2 crystal. The functional is GGA-PBE.

Values from the calculation:
DFT formation energy = 3.91 eV/f.u.
total DFT energy (no corrections) = -56.57 eV/cell
E above lowest polymorph = 225 meV/atom
Fermi-level density of states = 4.573 states/eV/f.u.

Cell: 3.127 4.691 10.067 Å, 90.00 90.00 90.00°
Space group Cmmm (No. 65)
Unique sites:
K  0.000  0.000  0.000
Ta  0.000  0.000  0.500
Cr  0.000  0.500  0.300

---

This record from Alexandria via LeMat-Bulk describes a relaxed KTaCr2 crystal. The functional is GGA-PBE.

Values from the calculation:
DFT formation energy = 3.01 eV/f.u.
total DFT energy (no corrections) = -29.18 eV/cell
E above lowest polymorph = 0 meV/atom
Fermi-level density of states = 2.534 states/eV/f.u.

Cell: 2.966 2.966 9.263 Å, 90.00 90.00 90.00°
Space group P4mm (No. 99)
Unique sites:
K  0.000  0.000  0.000
Ta  0.500  0.500  0.361
Cr  0.000  0.000  0.548
Cr  0.500  0.500  0.686

---

This record from Alexandria via LeMat-Bulk describes a relaxed KTaCr2 crystal. The functional is GGA-PBE.

Values from the calculation:
DFT formation energy = 3.30 eV/f.u.
total DFT energy (no corrections) = -28.89 eV/cell
E above lowest polymorph = 73 meV/atom
Fermi-level density of states = 3.361 states/eV/f.u.

Cell: 3.419 3.419 7.689 Å, 90.00 90.00 90.00°
Space group P4/mmm (No. 123)
Unique sites:
K  0.000  0.000  0.000
Ta  0.000  0.000  0.500
Cr  0.500  0.500  0.366

---

This record from Alexandria via LeMat-Bulk describes a relaxed KTaCr2 crystal. The functional is GGA-PBE.

Values from the calculation:
DFT formation energy = 6.55 eV/f.u.
total DFT energy (no corrections) = -51.29 eV/cell
E above lowest polymorph = 885 meV/atom
Fermi-level density of states = 4.461 states/eV/f.u.

Cell: 4.060 4.060 9.912 Å, 90.00 90.00 90.00°
Space group I-4m2 (No. 119)
Unique sites:
K  0.000  0.000  0.000
Ta  0.000  0.500  0.750
Cr  0.000  0.000  0.500
Cr  0.000  0.500  0.250

---

This record from Alexandria via LeMat-Bulk describes a relaxed KTaCr2 crystal. The functional is GGA-PBE.

Values from the calculation:
DFT formation energy = 4.05 eV/f.u.
total DFT energy (no corrections) = -84.43 eV/cell
E above lowest polymorph = 260 meV/atom
Fermi-level density of states = 5.100 states/eV/f.u.

Cell: 3.0660 3.0660 31.2691 Å, 90.00 90.00 120.00°
Space group R-3m (No. 166, hexagonal axes)
Unique sites:
K  0.0000  0.0000  0.0000
Ta  0.0000  0.0000  0.5000
Cr  0.0000  0.0000  0.2330

---

This record from Alexandria via LeMat-Bulk describes a relaxed KTaCr2 crystal. The functional is GGA-PBE.

Values from the calculation:
DFT formation energy = 3.45 eV/f.u.
total DFT energy (no corrections) = -28.75 eV/cell
E above lowest polymorph = 109 meV/atom
Fermi-level density of states = 4.223 states/eV/f.u.

Cell: 2.841 3.763 8.184 Å, 90.00 97.35 90.00°
Space group Pm (No. 6)
Unique sites:
K  0.000  0.000  0.000
Ta  0.746  0.500  0.386
Cr  0.106  0.500  0.658
Cr  0.406  0.000  0.554

---

This record from Alexandria via LeMat-Bulk describes a relaxed K4TaCr crystal. The functional is GGA-PBE.

Values from the calculation:
DFT formation energy = 9.37 eV/f.u.
total DFT energy (no corrections) = -65.98 eV/cell
Fermi-level density of states = 7.647 states/eV/f.u.

Cell: 9.984 9.984 9.984 Å, 90.00 90.00 90.00°
Space group F-43m (No. 216)
Unique sites:
K  0.125  0.125  0.125
Ta  0.250  0.250  0.750
Cr  0.000  0.000  0.500

---

This record from Alexandria via LeMat-Bulk describes a relaxed KTa2Cr crystal. The functional is GGA-PBE.

Values from the calculation:
DFT formation energy = 2.76 eV/f.u.
total DFT energy (no corrections) = -63.33 eV/cell
E above lowest polymorph = 0 meV/atom
Fermi-level density of states = 3.001 states/eV/f.u.

Cell: 3.177 4.891 10.526 Å, 90.00 90.00 90.00°
Space group Cmmm (No. 65)
Unique sites:
K  0.000  0.000  0.000
Ta  0.000  0.500  0.314
Cr  0.000  0.000  0.500

---

This record from Alexandria via LeMat-Bulk describes a relaxed KTa2Cr crystal. The functional is GGA-PBE.

Values from the calculation:
DFT formation energy = 4.59 eV/f.u.
total DFT energy (no corrections) = -59.68 eV/cell
E above lowest polymorph = 456 meV/atom
Fermi-level density of states = 4.566 states/eV/f.u.

Cell: 2.812 5.560 10.797 Å, 90.00 90.00 90.00°
Space group Immm (No. 71)
Unique sites:
K  0.000  0.000  0.000
Ta  0.000  0.500  0.202
Cr  0.000  0.000  0.500

---

This record from Alexandria via LeMat-Bulk describes a relaxed KTa2Cr crystal. The functional is GGA-PBE.

Values from the calculation:
DFT formation energy = 3.66 eV/f.u.
total DFT energy (no corrections) = -61.54 eV/cell
E above lowest polymorph = 223 meV/atom
Fermi-level density of states = 4.135 states/eV/f.u.

Cell: 7.556 2.942 8.795 Å, 90.00 93.32 90.00°
Space group C2/m (No. 12)
Unique sites:
K  0.000  0.000  0.000
Ta  0.225  0.000  0.644
Cr  0.000  0.500  0.500

---

This record from Alexandria via LeMat-Bulk describes a relaxed K2TaCr crystal. The functional is GGA-PBE.

Values from the calculation:
DFT formation energy = 3.42 eV/f.u.
total DFT energy (no corrections) = -20.25 eV/cell
E above lowest polymorph = 0 meV/atom
Fermi-level density of states = 3.154 states/eV/f.u.

Cell: 3.382 3.384 10.783 Å, 90.00 91.13 90.00°
Space group Pm (No. 6)
Unique sites:
K  0.000  0.000  0.000
K  0.459  0.500  0.393
Ta  0.978  0.000  0.665
Cr  0.484  0.500  0.752

---

This record from Alexandria via LeMat-Bulk describes a relaxed KTaCr2 crystal. The functional is GGA-PBE.

Values from the calculation:
DFT formation energy = 3.75 eV/f.u.
total DFT energy (no corrections) = -85.33 eV/cell
E above lowest polymorph = 185 meV/atom
Fermi-level density of states = 4.542 states/eV/f.u.

Cell: 2.9099 2.9099 30.3168 Å, 90.00 90.00 120.00°
Space group R3m (No. 160, hexagonal axes)
Unique sites:
K  0.0000  0.0000  0.0000
Ta  0.0000  0.0000  0.2247
Cr  0.0000  0.0000  0.4847
Cr  0.0000  0.0000  0.7671

---

This record from Alexandria via LeMat-Bulk describes a relaxed KTaCr2 crystal. The functional is GGA-PBE.

Values from the calculation:
DFT formation energy = 5.92 eV/f.u.
total DFT energy (no corrections) = -105.11 eV/cell
E above lowest polymorph = 727 meV/atom
Fermi-level density of states = 3.912 states/eV/f.u.

Cell: 6.761 6.761 6.761 Å, 90.00 90.00 90.00°
Space group Fm-3m (No. 225)
Unique sites:
K  0.000  0.000  0.000
Ta  0.000  0.000  0.500
Cr  0.250  0.250  0.250

---

This record from Alexandria via LeMat-Bulk describes a relaxed K2TaCr crystal. The functional is GGA-PBE.

Values from the calculation:
DFT formation energy = 6.06 eV/f.u.
total DFT energy (no corrections) = -17.61 eV/cell
E above lowest polymorph = 660 meV/atom
Fermi-level density of states = 4.403 states/eV/f.u.

Cell: 4.054 4.054 6.231 Å, 90.00 90.00 90.00°
Space group P4/mmm (No. 123)
Unique sites:
K  0.000  0.500  0.000
Ta  0.000  0.000  0.500
Cr  0.500  0.500  0.500

---

This record from Alexandria via LeMat-Bulk describes a relaxed KTa2Cr crystal. The functional is GGA-PBE.

Values from the calculation:
DFT formation energy = 2.85 eV/f.u.
total DFT energy (no corrections) = -31.58 eV/cell
E above lowest polymorph = 21 meV/atom
Fermi-level density of states = 4.565 states/eV/f.u.

Cell: 3.043 3.043 9.753 Å, 90.00 90.00 90.00°
Space group P4/mmm (No. 123)
Unique sites:
K  0.000  0.000  0.000
Ta  0.500  0.500  0.347
Cr  0.000  0.000  0.500

---

This record from Alexandria via LeMat-Bulk describes a relaxed KTa2Cr crystal. The functional is GGA-PBE.

Values from the calculation:
DFT formation energy = 3.14 eV/f.u.
total DFT energy (no corrections) = -62.57 eV/cell
E above lowest polymorph = 94 meV/atom
Fermi-level density of states = 3.500 states/eV/f.u.

Cell: 3.187 4.827 10.582 Å, 90.00 90.00 90.00°
Space group Cmm2 (No. 35)
Unique sites:
K  0.000  0.000  0.000
Ta  0.000  0.000  0.462
Ta  0.000  0.500  0.686
Cr  0.000  0.500  0.283

---

This record from Alexandria via LeMat-Bulk describes a relaxed K2TaCr crystal. The functional is GGA-PBE.

Values from the calculation:
DFT formation energy = 4.19 eV/f.u.
total DFT energy (no corrections) = -38.95 eV/cell
E above lowest polymorph = 194 meV/atom
Fermi-level density of states = 3.671 states/eV/f.u.

Cell: 8.760 3.047 10.343 Å, 90.00 92.74 90.00°
Space group Cm (No. 8)
Unique sites:
K  0.000  0.000  0.000
K  0.232  0.000  0.586
Ta  0.474  0.000  0.316
Cr  0.247  0.500  0.270

---

This record from Alexandria via LeMat-Bulk describes a relaxed KTa2Cr crystal. The functional is GGA-PBE.

Values from the calculation:
DFT formation energy = 5.39 eV/f.u.
total DFT energy (no corrections) = -58.07 eV/cell
E above lowest polymorph = 657 meV/atom
Fermi-level density of states = 4.061 states/eV/f.u.

Cell: 5.850 11.055 2.765 Å, 90.00 110.86 90.00°
Space group C2/m (No. 12)
Unique sites:
K  0.000  0.000  0.000
Ta  0.250  0.250  0.500
Cr  0.000  0.500  0.000

---

This record from Alexandria via LeMat-Bulk describes a relaxed KTaCr2 crystal. The functional is GGA-PBE.

Values from the calculation:
DFT formation energy = 5.21 eV/f.u.
total DFT energy (no corrections) = -26.98 eV/cell
E above lowest polymorph = 551 meV/atom
Fermi-level density of states = 2.888 states/eV/f.u.

Cell: 5.206 5.206 2.986 Å, 90.00 90.00 90.00°
Space group P4/mmm (No. 123)
Unique sites:
K  0.000  0.000  0.000
Ta  0.500  0.500  0.000
Cr  0.000  0.500  0.500

---

This record from Alexandria via LeMat-Bulk describes a relaxed KTa2Cr crystal. The functional is GGA-PBE.

Values from the calculation:
DFT formation energy = 3.31 eV/f.u.
total DFT energy (no corrections) = -93.35 eV/cell
E above lowest polymorph = 137 meV/atom
Fermi-level density of states = 3.161 states/eV/f.u.

Cell: 3.0452 3.0452 31.1458 Å, 90.00 90.00 120.00°
Space group R-3m (No. 166, hexagonal axes)
Unique sites:
K  0.0000  0.0000  0.0000
Ta  0.0000  0.0000  0.2276
Cr  0.0000  0.0000  0.5000

---

This record from Alexandria via LeMat-Bulk describes a relaxed K2TaCr crystal. The functional is GGA-PBE.

Values from the calculation:
DFT formation energy = 5.58 eV/f.u.
total DFT energy (no corrections) = -36.18 eV/cell
E above lowest polymorph = 540 meV/atom
Fermi-level density of states = 4.353 states/eV/f.u.

Cell: 3.154 5.244 12.790 Å, 90.00 90.00 90.00°
Space group Cmmm (No. 65)
Unique sites:
K  0.000  0.000  0.247
Ta  0.000  0.500  0.500
Cr  0.000  0.500  0.000

---

This record from Alexandria via LeMat-Bulk describes a relaxed KTaCr2 crystal. The functional is GGA-PBE.

Values from the calculation:
DFT formation energy = 5.68 eV/f.u.
total DFT energy (no corrections) = -53.04 eV/cell
E above lowest polymorph = 666 meV/atom
Fermi-level density of states = 3.573 states/eV/f.u.

Cell: 3.001 6.001 10.157 Å, 90.00 90.00 90.00°
Space group Immm (No. 71)
Unique sites:
K  0.000  0.000  0.000
Ta  0.000  0.000  0.500
Cr  0.000  0.500  0.207

---

This record from Alexandria via LeMat-Bulk describes a relaxed K2TaCr crystal. The functional is GGA-PBE.

Values from the calculation:
DFT formation energy = 8.10 eV/f.u.
total DFT energy (no corrections) = -62.27 eV/cell
E above lowest polymorph = 1172 meV/atom
Fermi-level density of states = 2.900 states/eV/f.u.

Cell: 8.326 8.326 8.326 Å, 90.00 90.00 90.00°
Space group Fm-3m (No. 225)
Unique sites:
K  0.250  0.250  0.250
Ta  0.000  0.000  0.000
Cr  0.000  0.000  0.500

---

This record from Alexandria via LeMat-Bulk describes a relaxed KTa2Cr crystal. The functional is GGA-PBE.

Values from the calculation:
DFT formation energy = 3.43 eV/f.u.
total DFT energy (no corrections) = -30.99 eV/cell
E above lowest polymorph = 168 meV/atom
Fermi-level density of states = 4.712 states/eV/f.u.

Cell: 2.929 4.291 7.930 Å, 90.00 99.95 90.00°
Space group Pm (No. 6)
Unique sites:
K  0.000  0.000  0.000
Ta  0.167  0.000  0.534
Ta  0.667  0.500  0.368
Cr  0.575  0.500  0.650

---

This record from Alexandria via LeMat-Bulk describes a relaxed KTaCr2 crystal. The functional is GGA-PBE.

Values from the calculation:
DFT formation energy = 3.88 eV/f.u.
total DFT energy (no corrections) = -56.63 eV/cell
E above lowest polymorph = 218 meV/atom
Fermi-level density of states = 3.760 states/eV/f.u.

Cell: 7.340 2.882 8.505 Å, 90.00 93.03 90.00°
Space group Cm (No. 8)
Unique sites:
K  0.000  0.000  0.000
Ta  0.223  0.000  0.625
Cr  0.263  0.500  0.339
Cr  0.491  0.000  0.456

---

This record from Alexandria via LeMat-Bulk describes a relaxed K2TaCr crystal. The functional is GGA-PBE.

Values from the calculation:
DFT formation energy = 5.93 eV/f.u.
total DFT energy (no corrections) = -17.74 eV/cell
E above lowest polymorph = 628 meV/atom
Fermi-level density of states = 3.759 states/eV/f.u.

Cell: 3.030 3.030 12.205 Å, 90.00 90.00 90.00°
Space group P4/mmm (No. 123)
Unique sites:
K  0.000  0.000  0.249
Ta  0.500  0.500  0.500
Cr  0.500  0.500  0.000

---

This record from Alexandria via LeMat-Bulk describes a relaxed KTa2Cr crystal. The functional is GGA-PBE.

Values from the calculation:
DFT formation energy = 3.81 eV/f.u.
total DFT energy (no corrections) = -61.23 eV/cell
E above lowest polymorph = 262 meV/atom
Fermi-level density of states = 4.207 states/eV/f.u.

Cell: 3.113 4.231 15.910 Å, 90.00 90.00 90.00°
Space group Imm2 (No. 44)
Unique sites:
K  0.000  0.000  0.000
Ta  0.000  0.000  0.685
Ta  0.000  0.500  0.795
Cr  0.000  0.500  0.301

---

This record from Alexandria via LeMat-Bulk describes a relaxed KTa2Cr crystal. The functional is GGA-PBE.

Values from the calculation:
DFT formation energy = 5.73 eV/f.u.
total DFT energy (no corrections) = -57.39 eV/cell
E above lowest polymorph = 741 meV/atom
Fermi-level density of states = 3.752 states/eV/f.u.

Cell: 5.681 10.452 2.780 Å, 90.00 90.00 90.00°
Space group Cmmm (No. 65)
Unique sites:
K  0.000  0.000  0.000
Ta  0.250  0.250  0.500
Cr  0.000  0.500  0.000

---

This record from Alexandria via LeMat-Bulk describes a relaxed K2TaCr crystal. The functional is GGA-PBE.

Values from the calculation:
DFT formation energy = 6.68 eV/f.u.
total DFT energy (no corrections) = -67.97 eV/cell
E above lowest polymorph = 815 meV/atom
Fermi-level density of states = 5.679 states/eV/f.u.

Cell: 7.694 7.694 7.694 Å, 90.00 90.00 90.00°
Space group F-43m (No. 216)
Unique sites:
K  0.000  0.000  0.000
K  0.250  0.250  0.250
Ta  0.250  0.250  0.750
Cr  0.000  0.000  0.500

---

This record from Alexandria via LeMat-Bulk describes a relaxed KTaCr2 crystal. The functional is GGA-PBE.

Values from the calculation:
DFT formation energy = 6.33 eV/f.u.
total DFT energy (no corrections) = -25.87 eV/cell
E above lowest polymorph = 830 meV/atom
Fermi-level density of states = 4.116 states/eV/f.u.

Cell: 3.050 4.861 5.370 Å, 90.00 90.00 90.00°
Space group Pmmm (No. 47)
Unique sites:
K  0.000  0.000  0.000
Ta  0.500  0.000  0.500
Cr  0.000  0.500  0.500
Cr  0.500  0.500  0.000

---

This record from Alexandria via LeMat-Bulk describes a relaxed K2TaCr crystal. The functional is GGA-PBE.

Values from the calculation:
DFT formation energy = 5.64 eV/f.u.
total DFT energy (no corrections) = -36.06 eV/cell
E above lowest polymorph = 556 meV/atom
Fermi-level density of states = 3.513 states/eV/f.u.

Cell: 6.004 12.679 3.033 Å, 90.00 118.13 90.00°
Space group C2/m (No. 12)
Unique sites:
K  0.250  0.250  0.000
Ta  0.000  0.000  0.500
Cr  0.000  0.500  0.500